This record from the Alexandria database describes a crystal of Sc3NbTl relaxed with PBEsol. The functional is meta-GGA SCAN.

abc: 5.0295 5.0295 5.0295
angles: 90.00 90.00 90.00
Last column: nearest neighbours and their distance in Å.
Space group Pm-3m (No. 221)
Unique sites:
Sc (0.0000, 0.0000, 0.5000) (multiplicity 3)  2 Nb 2.51
Nb (0.0000, 0.0000, 0.0000) (multiplicity 1)  6 Sc 2.51
Tl (0.5000, 0.5000, 0.5000) (multiplicity 1)  12 Sc 3.56

This record from the Alexandria database describes a crystal of ScNbTl3 relaxed with PBEsol. The functional is meta-GGA SCAN.

abc: 5.3031 5.3031 5.3031
angles: 90.00 90.00 90.00
Last column: nearest neighbours and their distance in Å.
Space group Pm-3m (No. 221)
Unique sites:
Sc (0.0000, 0.0000, 0.0000) (multiplicity 1)  12 Tl 3.75
Nb (0.5000, 0.5000, 0.5000) (multiplicity 1)  6 Tl 2.65
Tl (0.0000, 0.5000, 0.5000) (multiplicity 3)  2 Nb 2.65

This record from the Alexandria database describes a crystal of Sc2Nb2W relaxed with PBEsol. The functional is meta-GGA SCAN.

abc: 3.7369 3.7369 14.1932
angles: 90.00 90.00 90.00
Last column: nearest neighbours and their distance in Å.
Space group I4/mmm (No. 139)
Unique sites:
Sc (0.0000, 0.0000, 0.0905) (multiplicity 4)  1 Sc 2.57
Nb (0.0000, 0.5000, 0.2500) (multiplicity 4)  4 Nb 2.64, 4 Sc 2.94
W (0.0000, 0.0000, 0.5000) (multiplicity 2)  8 Sc 2.94

This record from the Alexandria database describes a crystal of Sc3NbW relaxed with PBEsol. The functional is meta-GGA SCAN.

abc: 4.9244 4.9244 4.9244
angles: 90.00 90.00 90.00
Last column: nearest neighbours and their distance in Å.
Space group Pm-3m (No. 221)
Unique sites:
Sc (0.0000, 0.0000, 0.5000) (multiplicity 3)  2 W 2.46
Nb (0.5000, 0.5000, 0.5000) (multiplicity 1)  12 Sc 3.48
W (0.0000, 0.0000, 0.0000) (multiplicity 1)  6 Sc 2.46

Summary of formation energy in eV/atom
0.5492, 0.5903, 0.8876, 0.9800
(order as listed above)
Summary of density of states at the Fermi level in states/eV/atom
1.27, 0.65, 1.08, 0.80
(order as listed above)